! YAl11Rh | the Alexandria database | PBE | relaxed; values from VASP
&SYSTEM
  ibrav = 0, nat = 13, ntyp = 3
/
ATOMIC_SPECIES
Al 26.98 Al.upf
Y 88.91 Y.upf
Rh 102.91 Rh.upf
CELL_PARAMETERS angstrom
4.771 -0.088 1.988
2.238 6.759 0.932
-0.048 -0.044 6.836
ATOMIC_POSITIONS crystal
Al 0.501 0.775 0.217
Al 0.283 0.225 0.217
Al 0.500 0.000 0.500
Al 0.000 0.500 0.000
Al 0.000 0.000 0.500
Al 0.356 0.642 0.649
Al 0.644 0.358 0.351
Al 0.499 0.225 0.783
Al 0.006 0.642 0.351
Al 0.717 0.775 0.783
Al 0.994 0.358 0.649
Y 0.000 0.000 0.000
Rh 0.500 0.500 0.000
! * total moment: 0.000 μB per atom
! * electronic total energy: -4.516 eV per atom